# 1
DFT (GGA-PBE) results for a relaxed structure of SrSmY.

```
SrSmY
1.0
3.758 0.000 0.000
-1.879 3.255 0.000
0.000 0.000 9.345
Sr Sm Y
1 1 1
direct
0.000 0.000 0.000 Sr
0.333 0.667 0.643 Sm
0.667 0.333 0.349 Y
```



# 2
DFT (GGA-PBE) results for a relaxed structure of Tb5TlPb6.

```
Tb5TlPb6
1.0
-2.427 4.574 7.709
2.427 -4.574 7.709
2.427 4.574 -7.709
Tb Tl Pb
5 1 6
direct
0.000 0.000 0.000 Tb
0.173 0.673 0.500 Tb
0.355 0.355 0.000 Tb
0.645 0.645 0.000 Tb
0.827 0.327 0.500 Tb
0.500 0.000 0.500 Tl
0.075 0.829 0.246 Pb
0.233 0.500 0.733 Pb
0.416 0.171 0.246 Pb
0.584 0.829 0.754 Pb
0.767 0.500 0.267 Pb
0.925 0.171 0.754 Pb
```



Number 1: ΔH_f (0 K) 38.4 kJ/mol of formula units, E_tot -4.156 eV/atom. Number 2: ΔH_f (0 K) -469.2 kJ/mol of formula units, E_tot -4.386 eV/atom.